No. 1
First-principles (PBE) data for an optimized crystal structure of HfCuSiAg, as listed in OQMD via LeMat-Bulk.

Symmetry: F-43m (216)
Offset from the most stable computed form in meV/atom: 130
V in Å³/cell: 64.86

Unit cell a=4.5098 b=4.5098 c=4.5098 alpha=60.00 beta=60.00 gamma=60.00
Atoms (fractional coordinates):
Ag (0.2500, 0.2500, 0.2500)
Cu (0.7500, 0.7500, 0.7500)
Hf (0.5000, 0.5000, 0.5000)
Si (0.0000, 0.0000, 0.0000)



No. 2
First-principles (PBE) data for an optimized crystal structure of K2TlZnCl6, as listed in OQMD via LeMat-Bulk.

Symmetry: Fm-3m (225)
E_tot in Ry per atom: -0.2192
V in Å³/cell: 283.15

Unit cell a=7.3708 b=7.3708 c=7.3708 alpha=60.00 beta=60.00 gamma=60.00
Atoms (fractional coordinates):
Cl (0.7649, 0.2351, 0.2351)
Cl (0.2351, 0.7649, 0.2351)
Cl (0.7649, 0.7649, 0.2351)
Cl (0.2351, 0.2351, 0.7649)
Cl (0.7649, 0.2351, 0.7649)
Cl (0.2351, 0.7649, 0.7649)
K (0.2500, 0.2500, 0.2500)
K (0.7500, 0.7500, 0.7500)
Tl (0.5000, 0.5000, 0.5000)
Zn (0.0000, 0.0000, 0.0000)



No. 3
First-principles (PBE) data for an optimized crystal structure of GdTmHg2, as listed in OQMD via LeMat-Bulk.

Symmetry: Ama2 (40)
Offset from the most stable computed form in meV/atom: 181
V in Å³/cell: 208.60

Unit cell a=5.4544 b=6.8143 c=6.8143 alpha=124.55 beta=90.00 gamma=90.00
Atoms (fractional coordinates):
Gd (0.2500, 0.6242, 0.3080)
Gd (0.7500, 0.3080, 0.6242)
Hg (0.7500, 0.7987, 0.1439)
Hg (0.7500, 0.3573, 0.1910)
Hg (0.2500, 0.1910, 0.3573)
Hg (0.2500, 0.1439, 0.7987)
Tm (0.7500, 0.8670, 0.7100)
Tm (0.2500, 0.7100, 0.8670)



No. 4
First-principles (PBE) data for an optimized crystal structure of HfCoSn, as listed in OQMD via LeMat-Bulk.

Symmetry: P-62m (189)
E_tot in Ry per atom: -0.5327
V in Å³/cell: 158.03

Unit cell a=6.7518 b=6.7518 c=4.0032 alpha=90.00 beta=90.00 gamma=120.01
Site moments in Bohr magnetons follow the coordinates.
Atoms (fractional coordinates):
Co (0.2447, 0.0000, 0.0000)  -0.49
Co (0.0000, 0.2447, 0.0000)  -0.56
Co (0.7554, 0.7554, 0.0000)  -0.53
Hf (0.5688, 0.0000, 0.5000)  0.04
Hf (0.4313, 0.4313, 0.5000)  0.02
Hf (0.0000, 0.5688, 0.5000)  0.01
Sn (0.6667, 0.3333, 0.0000)  0.00
Sn (0.3333, 0.6667, 0.0000)  0.00
Sn (0.0000, 0.0000, 0.5000)  0.02



No. 5
First-principles (PBE) data for an optimized crystal structure of TbTm2Mg3Ir3, as listed in OQMD via LeMat-Bulk.

Symmetry: Amm2 (38)
E_tot in Ry per atom: -0.4170
V in Å³/cell: 182.28

Unit cell a=4.0341 b=7.2275 c=7.2275 alpha=120.11 beta=90.00 gamma=90.00
Atoms (fractional coordinates):
Ir (0.5000, 0.6693, 0.3319)
Ir (0.5000, 0.3319, 0.6693)
Ir (0.0000, 0.9973, 0.9973)
Mg (0.5000, 0.9993, 0.2454)
Mg (0.5000, 0.7545, 0.7545)
Mg (0.5000, 0.2454, 0.9993)
Tb (0.0000, 0.4101, 0.4101)
Tm (0.0000, 0.9999, 0.5922)
Tm (0.0000, 0.5922, 0.9999)



No. 6
First-principles (PBE) data for an optimized crystal structure of Cd2FeGe, as listed in OQMD via LeMat-Bulk.

Symmetry: F-43m (216)
E_tot in Ry per atom: -0.2390
V in Å³/cell: 73.75

Unit cell a=4.7071 b=4.7071 c=4.7071 alpha=60.00 beta=60.00 gamma=60.00
Site moments in Bohr magnetons follow the coordinates.
Atoms (fractional coordinates):
Cd (0.0000, 0.0000, 0.0000)  -0.03
Cd (0.7500, 0.7500, 0.7500)  -0.01
Fe (0.2500, 0.2500, 0.2500)  2.61
Ge (0.5000, 0.5000, 0.5000)  -0.04



No. 7
First-principles (PBE) data for an optimized crystal structure of Rb4SbAu2N, as listed in OQMD via LeMat-Bulk.

Symmetry: Amm2 (38)
E_tot in Ry per atom: -0.2214
V in Å³/cell: 268.12

Unit cell a=7.3270 b=6.3515 c=6.3515 alpha=114.89 beta=90.00 gamma=90.00
Atoms (fractional coordinates):
Au (0.2067, 0.4559, 0.4559)
Au (0.7933, 0.4559, 0.4559)
N (0.0000, 0.2497, 0.2497)
Rb (0.5000, 0.3405, 0.0081)
Rb (0.0000, 0.7279, 0.0621)
Rb (0.5000, 0.0081, 0.3405)
Rb (0.0000, 0.0621, 0.7279)
Sb (0.5000, 0.6999, 0.6999)



No. 8
First-principles (PBE) data for an optimized crystal structure of MgCdSiNi, as listed in OQMD via LeMat-Bulk.

Symmetry: F-43m (216)
Offset from the most stable computed form in meV/atom: 86
V in Å³/cell: 65.58

Unit cell a=4.5265 b=4.5265 c=4.5265 alpha=60.00 beta=60.00 gamma=60.00
Atoms (fractional coordinates):
Cd (0.2500, 0.2500, 0.2500)
Mg (0.7500, 0.7500, 0.7500)
Ni (0.5000, 0.5000, 0.5000)
Si (0.0000, 0.0000, 0.0000)



Question: Which value of V does entry 5 give?
Answer: 182.28 Å³/cell